[1]
DFT (GGA-PBE) results for an optimized crystal structure of TbSc2Ag.

Cell lengths 3.418, 6.327, 9.391 Å; angles 90.00, 90.00, 105.67 degrees
Atoms (fractional coordinates):
Tb: 0.452 0.904 0.250
Tb: 0.548 0.096 0.750
Sc: 0.133 0.266 0.454
Sc: 0.867 0.734 0.546
Sc: 0.867 0.734 0.954
Sc: 0.133 0.266 0.046
Ag: 0.742 0.484 0.250
Ag: 0.258 0.516 0.750

Values from the calculation:
The value obtained for the formation energy from the elements is -0.096 eV per atom. The space group is No. 63. As for the energy above the lowest structure with this stoichiometry: 0 meV per atom.


[2]
DFT (GGA-PBE) results for an optimized crystal structure of TbScAg.

Cell lengths 4.571, 4.571, 7.261 Å; angles 90.00, 90.00, 90.00 degrees
Atoms (fractional coordinates):
Tb: 0.000 0.500 0.864
Tb: 0.500 0.000 0.136
Ag: 0.000 0.500 0.261
Ag: 0.500 0.000 0.739
Sc: 0.500 0.500 0.500
Sc: 0.000 0.000 0.500

Values from the calculation:
The value obtained for the formation energy from the elements is -0.145 eV per atom. The space group is No. 129. As for the energy above the lowest structure with this stoichiometry: 34 meV per atom.


[3]
DFT (GGA-PBE) results for an optimized crystal structure of TbSc2Ag4.

Cell lengths 6.000, 6.000, 6.000 Å; angles 116.46, 106.09, 106.09 degrees
Atoms (fractional coordinates):
Tb: 0.000 0.000 0.000
Sc: 0.500 0.500 0.000
Sc: 0.500 0.000 0.500
Ag: 0.500 0.000 0.000
Ag: 0.500 0.500 0.500
Ag: 0.000 0.000 0.500
Ag: 0.000 0.500 0.000

Values from the calculation:
The value obtained for the formation energy from the elements is -0.057 eV per atom. The space group is No. 139.


[4]
DFT (GGA-PBE) results for an optimized crystal structure of TbScAg.

Cell lengths 7.300, 8.771, 8.771 Å; angles 67.19, 65.41, 65.41 degrees
Atoms (fractional coordinates):
Tb: 0.163 0.045 0.545
Tb: 0.753 0.955 0.455
Tb: 0.343 0.750 0.250
Tb: 0.343 0.250 0.750
Tb: 0.754 0.455 0.955
Tb: 0.163 0.545 0.045
Sc: 0.007 0.000 0.000
Sc: 0.007 0.500 0.500
Sc: 0.753 0.373 0.373
Sc: 0.499 0.627 0.627
Sc: 0.499 0.127 0.127
Sc: 0.753 0.873 0.873
Ag: 0.753 0.250 0.750
Ag: 0.754 0.750 0.250
Ag: 0.087 0.167 0.167
Ag: 0.420 0.833 0.833
Ag: 0.420 0.333 0.333
Ag: 0.087 0.667 0.667

Values from the calculation:
The value obtained for the formation energy from the elements is -0.179 eV per atom. The space group is No. 38. As for the energy above the lowest structure with this stoichiometry: 0 meV per atom.


[5]
DFT (GGA-PBE) results for an optimized crystal structure of TbScAg4.

Cell lengths 5.176, 5.193, 5.258 Å; angles 60.41, 89.87, 89.74 degrees
Atoms (fractional coordinates):
Tb: 0.001 0.502 0.495
Sc: 0.501 0.002 0.495
Ag: 0.501 0.674 0.151
Ag: 0.501 0.330 0.840
Ag: 0.001 0.167 0.165
Ag: 0.001 0.837 0.826

Values from the calculation:
The value obtained for the formation energy from the elements is -0.285 eV per atom. The space group is No. 12. As for the energy above the lowest structure with this stoichiometry: 5 meV per atom.


[6]
DFT (GGA-PBE) results for an optimized crystal structure of Tb2ScAg2.

Cell lengths 3.905, 6.164, 6.164 Å; angles 67.66, 71.53, 71.53 degrees
Atoms (fractional coordinates):
Tb: 0.210 0.290 0.290
Tb: 0.790 0.710 0.710
Sc: 0.000 0.000 0.000
Ag: 0.500 0.292 0.708
Ag: 0.500 0.708 0.292

Values from the calculation:
The value obtained for the formation energy from the elements is -0.137 eV per atom. The space group is No. 71.


[7]
DFT (GGA-PBE) results for an optimized crystal structure of Tb2ScAg.

Cell lengths 3.645, 5.329, 5.329 Å; angles 90.00, 90.00, 90.00 degrees
Atoms (fractional coordinates):
Sc: 0.500 0.000 0.000
Tb: 0.000 0.000 0.500
Tb: 0.000 0.500 0.000
Ag: 0.500 0.500 0.500

Values from the calculation:
The value obtained for the formation energy from the elements is -0.052 eV per atom. The space group is No. 123. As for the energy above the lowest structure with this stoichiometry: 56 meV per atom.


[8]
DFT (GGA-PBE) results for an optimized crystal structure of TbScAg.

Cell lengths 3.582, 4.889, 4.889 Å; angles 120.00, 90.00, 90.00 degrees
Atoms (fractional coordinates):
Sc: 0.108 0.000 0.000
Tb: 0.639 0.667 0.333
Ag: 0.253 0.333 0.667

Values from the calculation:
The value obtained for the formation energy from the elements is -0.038 eV per atom. The space group is No. 156. As for the energy above the lowest structure with this stoichiometry: 141 meV per atom.


[9]
DFT (GGA-PBE) results for an optimized crystal structure of TbScAg2.

Cell lengths 3.509, 3.509, 7.216 Å; angles 90.00, 90.00, 90.00 degrees
Atoms (fractional coordinates):
Sc: 0.500 0.500 0.000
Tb: 0.500 0.500 0.500
Ag: 0.000 0.000 0.776
Ag: 0.000 0.000 0.224

Values from the calculation:
The value obtained for the formation energy from the elements is -0.284 eV per atom. The space group is No. 123.


[10]
DFT (GGA-PBE) results for an optimized crystal structure of Tb2ScAg.

Cell lengths 3.547, 3.547, 8.421 Å; angles 90.00, 90.00, 90.00 degrees
Atoms (fractional coordinates):
Sc: 0.500 0.500 0.500
Tb: 0.000 0.000 0.770
Tb: 0.000 0.000 0.230
Ag: 0.500 0.500 0.000

Values from the calculation:
The value obtained for the formation energy from the elements is -0.108 eV per atom. The space group is No. 123. As for the energy above the lowest structure with this stoichiometry: 0 meV per atom.


[11]
DFT (GGA-PBE) results for an optimized crystal structure of TbScTcAg.

Cell lengths 4.844, 4.844, 4.844 Å; angles 60.00, 60.00, 60.00 degrees
Atoms (fractional coordinates):
Sc: 0.500 0.500 0.500
Tb: 0.000 0.000 0.000
Tc: 0.750 0.750 0.750
Ag: 0.250 0.250 0.250

Values from the calculation:
The value obtained for the formation energy from the elements is -0.145 eV per atom. The space group is No. 216.


[12]
DFT (GGA-PBE) results for an optimized crystal structure of Tb2ScAg3Te6.

Cell lengths 4.316, 8.456, 9.980 Å; angles 103.28, 102.49, 90.00 degrees
Atoms (fractional coordinates):
Tb: 0.827 0.697 0.654
Tb: 0.173 0.303 0.346
Sc: 0.500 0.000 0.000
Ag: 0.500 0.500 0.000
Ag: 0.798 0.209 0.596
Ag: 0.202 0.791 0.404
Te: 0.344 0.968 0.689
Te: 0.661 0.564 0.323
Te: 0.656 0.032 0.311
Te: 0.010 0.245 0.020
Te: 0.990 0.755 0.980
Te: 0.339 0.436 0.677

Values from the calculation:
The formation energy without anion corrections comes out at -804 meV/atom. The space group is No. 12.


[13]
DFT (GGA-PBE) results for an optimized crystal structure of TbThScAg.

Cell lengths 3.572, 3.572, 8.127 Å; angles 90.00, 90.00, 90.00 degrees
Atoms (fractional coordinates):
Tb: 0.500 0.500 0.788
Th: 0.000 0.000 0.086
Sc: 0.500 0.500 0.358
Ag: 0.000 0.000 0.553

Values from the calculation:
The value obtained for the formation energy from the elements is -0.131 eV per atom. The space group is No. 99.


[14]
DFT (GGA-PBE) results for an optimized crystal structure of TbScTlAg.

Cell lengths 5.139, 5.139, 5.139 Å; angles 60.00, 60.00, 60.00 degrees
Each line ends with the local moment (μB).
Atoms (fractional coordinates):
Sc: 0.500 0.500 0.500  0.10
Tl: 0.750 0.750 0.750  0.00
Tb: 0.000 0.000 0.000  0.05
Ag: 0.250 0.250 0.250  0.01

Values from the calculation:
The value obtained for the formation energy from the elements is -0.307 eV per atom. The space group is No. 216.


[15]
DFT (GGA-PBE) results for an optimized crystal structure of TbSc2Tl2Ag2.

Cell lengths 4.767, 4.767, 8.802 Å; angles 74.29, 74.29, 60.00 degrees
Atoms (fractional coordinates):
Tb: 0.000 0.000 0.000
Sc: 0.136 0.136 0.592
Sc: 0.864 0.864 0.408
Tl: 0.737 0.737 0.790
Tl: 0.263 0.263 0.210
Ag: 0.559 0.559 0.322
Ag: 0.441 0.441 0.678

Values from the calculation:
The value obtained for the formation energy from the elements is -0.167 eV per atom. The space group is No. 166.


[16]
DFT (GGA-PBE) results for an optimized crystal structure of TbTmScAg.

Cell lengths 5.243, 5.243, 5.243 Å; angles 60.00, 60.00, 60.00 degrees
Atoms (fractional coordinates):
Sc: 0.250 0.250 0.250
Tm: 0.000 0.000 0.000
Tb: 0.500 0.500 0.500
Ag: 0.750 0.750 0.750

Values from the calculation:
The value obtained for the formation energy from the elements is 0.029 eV per atom. The space group is No. 216. As for the energy above the lowest structure with this stoichiometry: 144 meV per atom.


[17]
DFT (GGA-PBE) results for an optimized crystal structure of TbTmScAg.

Cell lengths 3.494, 3.494, 8.490 Å; angles 90.00, 90.00, 90.00 degrees
Atoms (fractional coordinates):
Tb: 0.500 0.500 0.801
Tm: 0.500 0.500 0.344
Sc: 0.000 0.000 0.075
Ag: 0.000 0.000 0.564

Values from the calculation:
The value obtained for the formation energy from the elements is -0.115 eV per atom. The space group is No. 99. As for the energy above the lowest structure with this stoichiometry: 0 meV per atom.


[18]
DFT (GGA-PBE) results for an optimized crystal structure of TbScZnAg.

Cell lengths 4.972, 4.972, 4.972 Å; angles 60.00, 60.00, 60.00 degrees
Atoms (fractional coordinates):
Sc: 0.500 0.500 0.500
Zn: 0.750 0.750 0.750
Tb: 0.000 0.000 0.000
Ag: 0.250 0.250 0.250

Values from the calculation:
The value obtained for the formation energy from the elements is -0.295 eV per atom. The space group is No. 216.


[19]
DFT (GGA-PBE) results for an optimized crystal structure of Sc2TcAg.

Cell lengths 9.711, 9.711, 9.711 Å; angles 18.64, 18.64, 18.64 degrees
Atoms (fractional coordinates):
Sc: 0.901 0.901 0.901
Sc: 0.099 0.099 0.099
Tc: 0.500 0.500 0.500
Ag: 0.000 0.000 0.000

Values from the calculation:
The value obtained for the formation energy from the elements is 0.095 eV per atom. The space group is No. 166. As for the energy above the lowest structure with this stoichiometry: 408 meV per atom.


[20]
DFT (GGA-PBE) results for an optimized crystal structure of ScTc2Ag.

Cell lengths 4.783, 4.783, 4.984 Å; angles 79.04, 79.04, 37.35 degrees
Atoms (fractional coordinates):
Ag: 0.496 0.496 0.485
Sc: 0.251 0.251 0.267
Tc: 0.012 0.012 0.950
Tc: 0.741 0.741 0.798

Values from the calculation:
The value obtained for the formation energy from the elements is 0.193 eV per atom. The space group is No. 8. As for the energy above the lowest structure with this stoichiometry: 223 meV per atom.


[21]
DFT (GGA-PBE) results for an optimized crystal structure of ScTcAg.

Cell lengths 4.446, 4.446, 4.446 Å; angles 60.00, 60.00, 60.00 degrees
Each line ends with the local moment (μB).
Atoms (fractional coordinates):
Ag: 0.500 0.500 0.500  0.02
Sc: 0.750 0.750 0.750  0.03
Tc: 0.000 0.000 0.000  1.24

Values from the calculation:
The value obtained for the formation energy from the elements is 0.907 eV per atom. The space group is No. 216. As for the energy above the lowest structure with this stoichiometry: 744 meV per atom.


[22]
DFT (GGA-PBE) results for an optimized crystal structure of Sc2TcAg.

Cell lengths 3.306, 3.313, 7.578 Å; angles 64.04, 90.00, 90.00 degrees
Atoms (fractional coordinates):
Sc: 0.000 0.973 0.028
Sc: 0.000 0.527 0.472
Tc: 0.500 0.250 0.250
Ag: 0.500 0.750 0.750

Values from the calculation:
The value obtained for the formation energy from the elements is -0.313 eV per atom. The space group is No. 123. As for the energy above the lowest structure with this stoichiometry: 0 meV per atom.


[23]
DFT (GGA-PBE) results for an optimized crystal structure of ScTcAg3.

Cell lengths 5.004, 5.004, 5.004 Å; angles 90.00, 90.00, 90.00 degrees
Each line ends with the local moment (μB).
Atoms (fractional coordinates):
Sc: 0.500 0.500 0.500  -0.45
Tc: 0.000 0.000 0.000  1.74
Ag: 0.000 0.500 0.000  0.10
Ag: 0.000 0.000 0.500  0.16
Ag: 0.500 0.000 0.000  0.04

Values from the calculation:
The value obtained for the formation energy from the elements is 1.157 eV per atom. The space group is No. 221. As for the energy above the lowest structure with this stoichiometry: 0 meV per atom.


[24]
DFT (GGA-PBE) results for an optimized crystal structure of ScTc2Ag.

Cell lengths 2.864, 4.451, 5.475 Å; angles 90.00, 90.00, 90.00 degrees
Atoms (fractional coordinates):
Ag: 0.500 0.500 0.250
Sc: 0.500 0.500 0.750
Tc: 0.000 0.000 0.960
Tc: 0.000 0.000 0.540

Values from the calculation:
The value obtained for the formation energy from the elements is 0.269 eV per atom. The space group is No. 47. As for the energy above the lowest structure with this stoichiometry: 299 meV per atom.


[25]
DFT (GGA-PBE) results for an optimized crystal structure of Sc2TcAg.

Cell lengths 3.036, 3.036, 8.555 Å; angles 90.00, 90.00, 90.00 degrees
Each line ends with the local moment (μB).
Atoms (fractional coordinates):
Ag: 0.500 0.500 0.732  0.03
Sc: 0.000 0.000 0.974  -0.03
Sc: 0.500 0.500 0.291  0.01
Tc: 0.000 0.000 0.504  1.16

Values from the calculation:
The value obtained for the formation energy from the elements is 0.192 eV per atom. The space group is No. 99. As for the energy above the lowest structure with this stoichiometry: 506 meV per atom.


[26]
DFT (GGA-PBE) results for an optimized crystal structure of Sc8Tc2Ag.

Cell lengths 4.908, 6.475, 8.337 Å; angles 112.87, 107.11, 90.02 degrees
Atoms (fractional coordinates):
Sc: 0.637 0.260 0.909
Sc: 0.973 0.020 0.582
Sc: 0.300 0.347 0.236
Sc: 0.749 0.940 0.133
Sc: 0.345 0.861 0.326
Sc: 0.928 0.444 0.492
Sc: 0.137 0.542 0.909
Sc: 0.524 0.715 0.685
Tc: 0.802 0.619 0.241
Tc: 0.470 0.288 0.578
Ag: 0.137 0.963 0.909

Values from the calculation:
The value obtained for the formation energy from the elements is -0.164 eV per atom. The space group is No. 44.


[27]
DFT (GGA-PBE) results for an optimized crystal structure of ScTcAg.

Cell lengths 5.181, 5.181, 5.181 Å; angles 148.84, 132.36, 58.03 degrees
Atoms (fractional coordinates):
Ag: 0.002 0.002 0.000
Sc: 0.325 0.325 0.000
Tc: 0.672 0.672 0.000

Values from the calculation:
The value obtained for the formation energy from the elements is 0.190 eV per atom. The space group is No. 44. As for the energy above the lowest structure with this stoichiometry: 27 meV per atom.


[28]
DFT (GGA-PBE) results for an optimized crystal structure of ScTc2Ag.

Cell lengths 3.477, 3.477, 5.717 Å; angles 90.00, 90.00, 90.00 degrees
Atoms (fractional coordinates):
Ag: 0.500 0.500 0.250
Sc: 0.500 0.500 0.750
Tc: 0.000 0.000 0.962
Tc: 0.000 0.000 0.538

Values from the calculation:
The value obtained for the formation energy from the elements is 0.379 eV per atom. The space group is No. 123. As for the energy above the lowest structure with this stoichiometry: 409 meV per atom.